Material: Mn2HgBr2O2
Method: DFT, PBE+U
State: optimized geometry

The magnetization is 10.00 μB/f.u. As for the electronic total energy: -71.269 eV for the cell shown.

It has space group C2/m (No. 12), with a = 12.9678 Å, b = 3.6576 Å, c = 6.3244 Å, α = 90.00°, β = 110.64° and γ = 90.00°. The asymmetric unit holds Mn at (0.2504, 0.0000, 0.2091), Hg at (0.0000, 0.5000, 0.0000), Br at (0.1227, 0.0000, 0.4718) and O at (0.1659, 0.5000, 0.0319).